Below is a relaxed InHSe2Br crystal, with properties calculated at the GGA-PBE level.

a = 5.3567 Å, b = 5.3567 Å, c = 5.6108 Å
α = 90.00°, β = 90.00°, γ = 90.00°
Space group P4/mmm (No. 123)
Symmetry-distinct sites (fractional):
In 0.0000 0.0000 0.0000 [1 per cell]
H 0.5000 0.5000 0.5000 [1 per cell]
Se 0.0000 0.5000 0.0000 [2 per cell]
Br 0.0000 0.0000 0.5000 [1 per cell]

Properties
Raw total energy, eV per atom: -2.3441
Offset from the most stable computed form, eV per atom: 0.447